Entry 1:
VASP calculation (PBE) on crystalline Ba6NaLiIr at its relaxed geometry.

Properties
- energy of formation (meV per atom) = 5
- symmetry = P312 (149)

```
Ba6NaLiIr
1.0
-4.905 6.337 -2.980
-4.123 -0.916 -7.434
-6.277 -3.044 3.857
Ba Na Li Ir
6 1 1 1
direct
0.621 0.038 0.273 Ba
0.621 0.340 0.727 Ba
0.340 0.621 0.273 Ba
0.039 0.340 0.273 Ba
0.038 0.621 0.727 Ba
0.340 0.039 0.727 Ba
0.000 0.000 0.000 Na
0.667 0.667 0.500 Li
0.333 0.333 0.500 Ir
```

=====

Entry 2:
VASP calculation (PBE) on crystalline Ce6AlZn5 at its relaxed geometry.

Properties
- energy of formation (meV per atom) = -219
- symmetry = P-1 (2)

```
Ce6AlZn5
1.0
5.498 0.042 -0.042
-0.006 5.730 2.368
-0.145 -0.032 8.310
Ce Zn Al
6 5 1
direct
0.830 0.585 0.345 Ce
0.188 0.921 0.673 Ce
0.492 0.734 0.991 Ce
0.508 0.266 0.009 Ce
0.812 0.079 0.327 Ce
0.170 0.415 0.655 Ce
0.683 0.159 0.681 Zn
0.682 0.664 0.673 Zn
0.000 0.500 0.000 Zn
0.318 0.336 0.327 Zn
0.317 0.841 0.319 Zn
0.000 0.000 0.000 Al
```

=====

Entry 3:
VASP calculation (PBE) on crystalline Rb2DyAs2O6 at its relaxed geometry.

Properties
- formation energy without anion corrections (eV/atom) = -1.922
- symmetry = C2/m (12)

```
Rb2DyAs2O6
1.0
6.033 0.000 0.000
-3.017 5.114 -0.133
0.000 -3.038 6.722
O Dy As Rb
6 1 2 2
direct
0.256 0.512 0.392 O
0.221 0.974 0.271 O
0.753 0.974 0.271 O
0.744 0.488 0.608 O
0.247 0.026 0.729 O
0.779 0.026 0.729 O
0.500 0.000 0.500 Dy
0.070 0.140 0.221 As
0.930 0.860 0.779 As
0.284 0.568 0.814 Rb
0.716 0.432 0.186 Rb
```

=====

Entry 4:
VASP calculation (PBE) on crystalline HoThS at its relaxed geometry.

Properties
- formation energy without anion corrections (eV/atom) = -1.098
- symmetry = P3m1 (156)

```
HoThS
1.0
3.826 0.000 0.000
-1.913 3.314 0.000
0.000 0.000 6.478
Ho Th S
1 1 1
direct
0.000 0.000 0.074 Ho
0.333 0.667 0.605 Th
0.667 0.333 0.321 S
```